Computed, not measured: a relaxed ZnSbRh2 crystal at the GGA-PBE level of DFT.

CIF file:
```
data_ZnSbRh2
_chemical_formula_sum 'Zn3 Sb3 Rh6'
_cell_length_a 4.0013
_cell_length_b 4.0013
_cell_length_c 15.6663
_cell_angle_alpha 90.00
_cell_angle_beta 90.00
_cell_angle_gamma 120.00
_symmetry_space_group_name_H-M 'R 3 m'
_symmetry_Int_Tables_number 160
_symmetry_space_group_name_Hall 'R 3 -2"'
loop_
_atom_site_label
_atom_site_type_symbol
_atom_site_fract_x
_atom_site_fract_y
_atom_site_fract_z
Zn1 Zn 0.0000 0.0000 0.0000
Sb1 Sb 0.0000 0.0000 0.1772
Rh1 Rh 0.0000 0.0000 0.5833
Rh2 Rh 0.0000 0.0000 0.7638
```

Computed properties:
As for the raw formation energy: -0.62 eV/f.u. Its density of states at the Fermi level is 0.47 states/eV per atom.


Computed, not measured: a relaxed ZnSbRh4 crystal at the GGA-PBE level of DFT.

CIF file:
```
data_ZnSbRh4
_chemical_formula_sum 'Zn4 Sb4 Rh16'
_cell_length_a 7.3645
_cell_length_b 7.3645
_cell_length_c 7.3645
_cell_angle_alpha 90.00
_cell_angle_beta 90.00
_cell_angle_gamma 90.00
_symmetry_space_group_name_H-M 'F -4 3 m'
_symmetry_Int_Tables_number 216
_symmetry_space_group_name_Hall 'F -4 2 3'
loop_
_atom_site_label
_atom_site_type_symbol
_atom_site_fract_x
_atom_site_fract_y
_atom_site_fract_z
Zn1 Zn 0.0000 0.0000 0.0000
Sb1 Sb 0.2500 0.2500 0.7500
Rh1 Rh 0.1252 0.1252 0.3748
```

Computed properties:
As for the raw formation energy: 0.77 eV/f.u. Its density of states at the Fermi level is 1.47 states/eV per atom.


Computed, not measured: a relaxed Zr2SbRh crystal at the GGA-PBE level of DFT.

CIF file:
```
data_Zr2SbRh
_chemical_formula_sum 'Zr4 Sb2 Rh2'
_cell_length_a 4.1587
_cell_length_b 3.7430
_cell_length_c 10.7370
_cell_angle_alpha 90.00
_cell_angle_beta 90.00
_cell_angle_gamma 90.00
_symmetry_space_group_name_H-M 'A m m 2'
_symmetry_Int_Tables_number 38
_symmetry_space_group_name_Hall 'A 2 -2'
loop_
_atom_site_label
_atom_site_type_symbol
_atom_site_fract_x
_atom_site_fract_y
_atom_site_fract_z
Zr1 Zr 0.0000 0.0000 0.0000
Zr2 Zr 0.5000 0.0000 0.3042
Sb1 Sb 0.0000 0.0000 0.7249
Rh1 Rh 0.5000 0.0000 0.5572
```

Computed properties:
As for the raw formation energy: -2.62 eV/f.u. Its density of states at the Fermi level is 1.14 states/eV per atom.


Computed, not measured: a relaxed Zr2SbRh crystal at the GGA-PBE level of DFT.

CIF file:
```
data_Zr2SbRh
_chemical_formula_sum 'Zr6 Sb3 Rh3'
_cell_length_a 3.3047
_cell_length_b 3.3047
_cell_length_c 27.0652
_cell_angle_alpha 90.00
_cell_angle_beta 90.00
_cell_angle_gamma 120.00
_symmetry_space_group_name_H-M 'R 3 m'
_symmetry_Int_Tables_number 160
_symmetry_space_group_name_Hall 'R 3 -2"'
loop_
_atom_site_label
_atom_site_type_symbol
_atom_site_fract_x
_atom_site_fract_y
_atom_site_fract_z
Zr1 Zr 0.0000 0.0000 0.0000
Zr2 Zr 0.0000 0.0000 0.2402
Sb1 Sb 0.0000 0.0000 0.4819
Rh1 Rh 0.0000 0.0000 0.7371
```

Computed properties:
As for the raw formation energy: -0.91 eV/f.u. Its density of states at the Fermi level is 0.97 states/eV per atom.


Computed, not measured: a relaxed ZrSbRh2 crystal at the GGA-PBE level of DFT.

CIF file:
```
data_ZrSbRh2
_chemical_formula_sum 'Zr3 Sb3 Rh6'
_cell_length_a 3.2444
_cell_length_b 3.2444
_cell_length_c 24.7560
_cell_angle_alpha 90.00
_cell_angle_beta 90.00
_cell_angle_gamma 120.00
_symmetry_space_group_name_H-M 'R -3 m'
_symmetry_Int_Tables_number 166
_symmetry_space_group_name_Hall '-R 3 2"'
loop_
_atom_site_label
_atom_site_type_symbol
_atom_site_fract_x
_atom_site_fract_y
_atom_site_fract_z
Zr1 Zr 0.0000 0.0000 0.0000
Sb1 Sb 0.0000 0.0000 0.5000
Rh1 Rh 0.0000 0.0000 0.2515
```

Computed properties:
As for the raw formation energy: -1.19 eV/f.u. Its density of states at the Fermi level is 0.91 states/eV per atom.


Computed, not measured: a relaxed Zr2SbRh crystal at the GGA-PBE level of DFT.

CIF file:
```
data_Zr2SbRh
_chemical_formula_sum 'Zr2 Sb1 Rh1'
_cell_length_a 3.1664
_cell_length_b 3.1664
_cell_length_c 8.0737
_cell_angle_alpha 90.00
_cell_angle_beta 90.00
_cell_angle_gamma 90.00
_symmetry_space_group_name_H-M 'P 4/m m m'
_symmetry_Int_Tables_number 123
_symmetry_space_group_name_Hall '-P 4 2'
loop_
_atom_site_label
_atom_site_type_symbol
_atom_site_fract_x
_atom_site_fract_y
_atom_site_fract_z
Zr1 Zr 0.0000 0.0000 0.2221
Sb1 Sb 0.5000 0.5000 0.5000
Rh1 Rh 0.5000 0.5000 0.0000
```

Computed properties:
As for the raw formation energy: -2.04 eV/f.u. Its density of states at the Fermi level is 1.16 states/eV per atom.


Computed, not measured: a relaxed Zr2SbRh crystal at the GGA-PBE level of DFT.

CIF file:
```
data_Zr2SbRh
_chemical_formula_sum 'Zr6 Sb3 Rh3'
_cell_length_a 3.9313
_cell_length_b 3.9313
_cell_length_c 20.3038
_cell_angle_alpha 90.00
_cell_angle_beta 90.00
_cell_angle_gamma 120.00
_symmetry_space_group_name_H-M 'R -3 m'
_symmetry_Int_Tables_number 166
_symmetry_space_group_name_Hall '-R 3 2"'
loop_
_atom_site_label
_atom_site_type_symbol
_atom_site_fract_x
_atom_site_fract_y
_atom_site_fract_z
Zr1 Zr 0.0000 0.0000 0.2378
Sb1 Sb 0.0000 0.0000 0.0000
Rh1 Rh 0.0000 0.0000 0.5000
```

Computed properties:
As for the raw formation energy: -1.96 eV/f.u. Its density of states at the Fermi level is 0.67 states/eV per atom.


Computed, not measured: a relaxed ZrSbRh2 crystal at the GGA-PBE level of DFT.

CIF file:
```
data_ZrSbRh2
_chemical_formula_sum 'Zr1 Sb1 Rh2'
_cell_length_a 4.2745
_cell_length_b 4.2745
_cell_length_c 3.8647
_cell_angle_alpha 90.00
_cell_angle_beta 90.00
_cell_angle_gamma 90.00
_symmetry_space_group_name_H-M 'P 4/m m m'
_symmetry_Int_Tables_number 123
_symmetry_space_group_name_Hall '-P 4 2'
loop_
_atom_site_label
_atom_site_type_symbol
_atom_site_fract_x
_atom_site_fract_y
_atom_site_fract_z
Zr1 Zr 0.0000 0.0000 0.0000
Sb1 Sb 0.5000 0.5000 0.0000
Rh1 Rh 0.0000 0.5000 0.5000
```

Computed properties:
As for the raw formation energy: -2.41 eV/f.u. Its density of states at the Fermi level is 0.90 states/eV per atom.


Computed, not measured: a relaxed Zr2SbRh crystal at the GGA-PBE level of DFT.

CIF file:
```
data_Zr2SbRh
_chemical_formula_sum 'Zr4 Sb2 Rh2'
_cell_length_a 4.1783
_cell_length_b 4.8033
_cell_length_c 8.0983
_cell_angle_alpha 90.00
_cell_angle_beta 90.00
_cell_angle_gamma 90.00
_symmetry_space_group_name_H-M 'C m m m'
_symmetry_Int_Tables_number 65
_symmetry_space_group_name_Hall '-C 2 2'
loop_
_atom_site_label
_atom_site_type_symbol
_atom_site_fract_x
_atom_site_fract_y
_atom_site_fract_z
Zr1 Zr 0.0000 0.0000 0.2223
Sb1 Sb 0.0000 0.5000 0.5000
Rh1 Rh 0.0000 0.5000 0.0000
```

Computed properties:
As for the raw formation energy: -2.09 eV/f.u. Its density of states at the Fermi level is 0.96 states/eV per atom.


Computed, not measured: a relaxed Zr2SbRh crystal at the GGA-PBE level of DFT.

CIF file:
```
data_Zr2SbRh
_chemical_formula_sum 'Zr4 Sb2 Rh2'
_cell_length_a 5.8463
_cell_length_b 7.6742
_cell_length_c 3.5853
_cell_angle_alpha 90.00
_cell_angle_beta 90.00
_cell_angle_gamma 90.00
_symmetry_space_group_name_H-M 'C m m m'
_symmetry_Int_Tables_number 65
_symmetry_space_group_name_Hall '-C 2 2'
loop_
_atom_site_label
_atom_site_type_symbol
_atom_site_fract_x
_atom_site_fract_y
_atom_site_fract_z
Zr1 Zr 0.2500 0.2500 0.0000
Sb1 Sb 0.0000 0.0000 0.5000
Rh1 Rh 0.0000 0.5000 0.5000
```

Computed properties:
As for the raw formation energy: -2.30 eV/f.u. Its density of states at the Fermi level is 0.80 states/eV per atom.


Computed, not measured: a relaxed Zr2SbRh crystal at the GGA-PBE level of DFT.

CIF file:
```
data_Zr2SbRh
_chemical_formula_sum 'Zr4 Sb2 Rh2'
_cell_length_a 4.3366
_cell_length_b 4.3366
_cell_length_c 8.4049
_cell_angle_alpha 90.00
_cell_angle_beta 90.00
_cell_angle_gamma 90.00
_symmetry_space_group_name_H-M 'I 4/m m m'
_symmetry_Int_Tables_number 139
_symmetry_space_group_name_Hall '-I 4 2'
loop_
_atom_site_label
_atom_site_type_symbol
_atom_site_fract_x
_atom_site_fract_y
_atom_site_fract_z
Zr1 Zr 0.0000 0.5000 0.2500
Sb1 Sb 0.0000 0.0000 0.0000
Rh1 Rh 0.0000 0.0000 0.5000
```

Computed properties:
As for the raw formation energy: -2.34 eV/f.u. Its density of states at the Fermi level is 0.85 states/eV per atom.


Computed, not measured: a relaxed ZrSbRh4 crystal at the GGA-PBE level of DFT.

CIF file:
```
data_ZrSbRh4
_chemical_formula_sum 'Zr4 Sb4 Rh16'
_cell_length_a 7.4053
_cell_length_b 7.4053
_cell_length_c 7.4053
_cell_angle_alpha 90.00
_cell_angle_beta 90.00
_cell_angle_gamma 90.00
_symmetry_space_group_name_H-M 'F -4 3 m'
_symmetry_Int_Tables_number 216
_symmetry_space_group_name_Hall 'F -4 2 3'
loop_
_atom_site_label
_atom_site_type_symbol
_atom_site_fract_x
_atom_site_fract_y
_atom_site_fract_z
Zr1 Zr 0.0000 0.0000 0.0000
Sb1 Sb 0.2500 0.2500 0.2500
Rh1 Rh 0.1249 0.1249 0.6249
```

Computed properties:
As for the raw formation energy: -1.92 eV/f.u. Its density of states at the Fermi level is 1.13 states/eV per atom.